(1)
{
  "formula": "Nd2ZrP2IrO2",
  "functional": "PBE",
  "state": "relaxed",
  "cell": [[4.064, 0.000, 0.000], [0.000, 4.064, 0.000], [0.000, 0.000, 8.730]],
  "species": ["Nd", "Nd", "Zr", "P", "P", "Ir", "O", "O"],
  "frac_coords": [[0.000, 0.500, 0.134], [0.500, 0.000, 0.866], [0.500, 0.500, 0.500], [0.000, 0.500, 0.675], [0.500, 0.000, 0.325], [0.000, 0.000, 0.500], [0.000, 0.000, 0.000], [0.500, 0.500, 0.000]],
  "dft_energy_ev_per_atom": -7.9766,
  "volume_a3_per_atom": 18.0,
  "spacegroup": "No. 115"
}

(2)
{
  "formula": "Nd2IrPdO6",
  "functional": "PBE",
  "state": "relaxed",
  "cell": [[0.000, 4.005, 4.005], [4.005, 0.000, 4.005], [4.005, 4.005, 0.000]],
  "species": ["Nd", "Nd", "Ir", "Pd", "O", "O", "O", "O", "O", "O"],
  "frac_coords": [[0.250, 0.250, 0.250], [0.750, 0.750, 0.750], [0.000, 0.000, 0.000], [0.500, 0.500, 0.500], [0.247, 0.247, 0.753], [0.247, 0.753, 0.247], [0.247, 0.753, 0.753], [0.753, 0.247, 0.247], [0.753, 0.247, 0.753], [0.753, 0.753, 0.247]],
  "polymorph_energy_ev_per_atom": 0.390,
  "volume_a3_per_atom": 12.9,
  "spacegroup": "No. 225"
}

(3)
{
  "formula": "Nd2IrPdO6",
  "functional": "PBE",
  "state": "relaxed",
  "cell": [[5.477, 0.000, 0.000], [0.000, 5.977, 0.000], [-5.453, 0.000, 7.652]],
  "species": ["Nd", "Nd", "Nd", "Nd", "Ir", "Ir", "Pd", "Pd", "O", "O", "O", "O", "O", "O", "O", "O", "O", "O", "O", "O"],
  "frac_coords": [[0.221, 0.086, 0.251], [0.221, 0.414, 0.751], [0.779, 0.586, 0.249], [0.779, 0.914, 0.749], [0.500, 0.000, 0.000], [0.500, 0.500, 0.500], [0.000, 0.000, 0.500], [0.000, 0.500, 0.000], [0.134, 0.177, 0.951], [0.134, 0.323, 0.451], [0.279, 0.704, 0.939], [0.279, 0.796, 0.439], [0.380, 0.041, 0.753], [0.380, 0.459, 0.253], [0.620, 0.541, 0.747], [0.620, 0.959, 0.247], [0.721, 0.204, 0.561], [0.721, 0.296, 0.061], [0.866, 0.677, 0.549], [0.866, 0.823, 0.049]],
  "polymorph_energy_ev_per_atom": 0.000,
  "volume_a3_per_atom": 12.5,
  "spacegroup": "No. 14"
}

(4)
{
  "formula": "Nd2SnIrO6",
  "functional": "PBE",
  "state": "relaxed",
  "cell": [[5.544, 0.000, 0.000], [0.000, 6.039, 0.000], [-5.119, 0.000, 7.870]],
  "species": ["Nd", "Nd", "Nd", "Nd", "Sn", "Sn", "Ir", "Ir", "O", "O", "O", "O", "O", "O", "O", "O", "O", "O", "O", "O"],
  "frac_coords": [[0.220, 0.076, 0.250], [0.220, 0.424, 0.750], [0.780, 0.576, 0.250], [0.780, 0.924, 0.750], [0.500, 0.000, 0.000], [0.500, 0.500, 0.500], [0.000, 0.000, 0.500], [0.000, 0.500, 0.000], [0.129, 0.190, 0.945], [0.129, 0.310, 0.445], [0.256, 0.700, 0.942], [0.256, 0.800, 0.442], [0.374, 0.052, 0.742], [0.374, 0.448, 0.242], [0.626, 0.552, 0.758], [0.626, 0.948, 0.258], [0.744, 0.200, 0.558], [0.744, 0.300, 0.058], [0.871, 0.690, 0.555], [0.871, 0.810, 0.055]],
  "dft_energy_ev_per_atom": -7.2864,
  "volume_a3_per_atom": 13.2,
  "spacegroup": "No. 14"
}

(5)
{
  "formula": "SrNd2IrO6",
  "functional": "PBE",
  "state": "relaxed",
  "cell": [[0.000, 4.170, 4.170], [4.170, 0.000, 4.170], [4.170, 4.170, 0.000]],
  "species": ["Sr", "Nd", "Nd", "Ir", "O", "O", "O", "O", "O", "O"],
  "frac_coords": [[0.000, 0.000, 0.000], [0.250, 0.250, 0.250], [0.750, 0.750, 0.750], [0.500, 0.500, 0.500], [0.267, 0.267, 0.733], [0.267, 0.733, 0.267], [0.267, 0.733, 0.733], [0.733, 0.267, 0.267], [0.733, 0.267, 0.733], [0.733, 0.733, 0.267]],
  "dft_energy_ev_per_atom": -6.9480,
  "volume_a3_per_atom": 14.5,
  "spacegroup": "No. 225"
}

(6)
{
  "formula": "TbNd2IrO6",
  "functional": "PBE",
  "state": "relaxed",
  "cell": [[4.977, -2.872, 0.000], [4.977, 2.872, 0.000], [-3.218, 0.000, 4.805]],
  "species": ["Tb", "Nd", "Nd", "Ir", "O", "O", "O", "O", "O", "O"],
  "frac_coords": [[0.000, 0.000, 0.000], [0.246, 0.246, 0.716], [0.754, 0.754, 0.284], [0.500, 0.500, 0.500], [0.183, 0.669, 0.667], [0.262, 0.262, 0.138], [0.331, 0.817, 0.333], [0.669, 0.183, 0.667], [0.738, 0.738, 0.862], [0.817, 0.331, 0.333]],
  "dft_energy_ev_per_atom": -7.8693,
  "volume_a3_per_atom": 13.7,
  "spacegroup": "No. 12"
}